(1)
{"formula": "Nd7Ge2Rh2", "functional": "PBE", "state": "optimized geometry", "cell": [[4.291, -5.407, 0.000], [4.291, 5.407, 0.000], [0.000, 0.000, 7.131]], "species": ["Nd", "Nd", "Nd", "Nd", "Nd", "Nd", "Nd", "Ge", "Ge", "Rh", "Rh"], "frac_coords": [[0.000, 0.000, 0.000], [0.000, 0.500, 0.260], [0.000, 0.500, 0.740], [0.500, 0.000, 0.260], [0.500, 0.000, 0.740], [0.500, 0.500, 0.241], [0.500, 0.500, 0.759], [0.212, 0.212, 0.500], [0.788, 0.788, 0.500], [0.276, 0.724, 0.000], [0.724, 0.276, 0.000]], "space_group": "No. 65", "delta_e_f_mev_per_atom": -399.6, "magnetic_moment_mub_per_fu": 0.0}

(2)
{"formula": "NdGe3Rh5", "functional": "PBE", "state": "optimized geometry", "cell": [[2.015, -6.368, 0.000], [2.015, 6.368, 0.000], [0.000, 0.000, 12.276]], "species": ["Nd", "Nd", "Ge", "Ge", "Ge", "Ge", "Ge", "Ge", "Rh", "Rh", "Rh", "Rh", "Rh", "Rh", "Rh", "Rh", "Rh", "Rh"], "frac_coords": [[0.171, 0.829, 0.750], [0.829, 0.171, 0.250], [0.108, 0.892, 0.250], [0.382, 0.618, 0.048], [0.382, 0.618, 0.452], [0.618, 0.382, 0.548], [0.618, 0.382, 0.952], [0.892, 0.108, 0.750], [0.000, 0.000, 0.000], [0.000, 0.000, 0.500], [0.199, 0.801, 0.071], [0.199, 0.801, 0.429], [0.446, 0.554, 0.642], [0.446, 0.554, 0.858], [0.554, 0.446, 0.142], [0.554, 0.446, 0.358], [0.801, 0.199, 0.571], [0.801, 0.199, 0.929]], "space_group": "No. 63", "delta_e_f_mev_per_atom": -589.2, "magnetic_moment_mub_per_fu": 0.0}

(3)
{"formula": "Nd4Ge3Rh4", "functional": "PBE", "state": "optimized geometry", "cell": [[10.642, -2.852, 0.000], [10.642, 2.852, 0.000], [-2.704, 0.000, 7.559]], "species": ["Nd", "Nd", "Nd", "Nd", "Nd", "Nd", "Nd", "Nd", "Ge", "Ge", "Ge", "Ge", "Ge", "Ge", "Rh", "Rh", "Rh", "Rh", "Rh", "Rh", "Rh", "Rh"], "frac_coords": [[0.079, 0.787, 0.831], [0.213, 0.921, 0.669], [0.214, 0.445, 0.101], [0.445, 0.214, 0.601], [0.555, 0.786, 0.399], [0.786, 0.555, 0.899], [0.787, 0.079, 0.331], [0.921, 0.213, 0.169], [0.052, 0.292, 0.558], [0.292, 0.052, 0.058], [0.356, 0.644, 0.250], [0.644, 0.356, 0.750], [0.708, 0.948, 0.942], [0.948, 0.708, 0.442], [0.071, 0.371, 0.314], [0.302, 0.574, 0.482], [0.371, 0.071, 0.814], [0.426, 0.698, 0.018], [0.574, 0.302, 0.982], [0.629, 0.929, 0.186], [0.698, 0.426, 0.518], [0.929, 0.629, 0.686]], "space_group": "No. 15", "delta_e_f_mev_per_atom": -884.1, "magnetic_moment_mub_per_fu": 0.0}

(4)
{"formula": "Nd2Ge4Rh3", "functional": "PBE", "state": "optimized geometry", "cell": [[0.000, 4.923, 6.220], [2.808, 0.000, 6.220], [2.808, 4.923, 0.000]], "species": ["Nd", "Nd", "Ge", "Ge", "Ge", "Ge", "Rh", "Rh", "Rh"], "frac_coords": [[0.133, 0.133, 0.867], [0.867, 0.867, 0.133], [0.172, 0.514, 0.486], [0.486, 0.828, 0.172], [0.514, 0.172, 0.828], [0.828, 0.486, 0.514], [0.000, 0.000, 0.500], [0.500, 0.500, 0.000], [0.500, 0.500, 0.500]], "space_group": "No. 69", "delta_e_f_mev_per_atom": -707.8, "magnetic_moment_mub_per_fu": 0.0}